Entry from Alexandria: a relaxed structure of TaP2Rh (PBE-GGA).

Geometry as POSCAR:
```
TaP2Rh
1.0
7.232 -0.038 -0.023
6.556 3.055 -0.023
6.556 1.434 2.697
Ta Rh P
1 1 2
Direct
0.250 0.250 0.250
0.750 0.750 0.750
0.002 0.002 0.002
0.498 0.498 0.498
```

Results
Space group: R-3m, No. 166
Formation enthalpy at 0 K (eV/f.u.): -0.861
Total magnetization (μB/f.u.): 0.00